Density functional theory data (GGA-PBE) for an optimized crystal structure of Hf2Mg3Zr3.

Output
Total energy ... -6.1596 eV/atom
Formation energy ... 0.13 eV/atom
Spin magnetization ... 0.00 Bohr magnetons per cell
Volume ... 369 Å³/cell

a = 7.8438 Å, b = 7.8438 Å, c = 15.3987 Å
α = 90.00°, β = 90.00°, γ = 157.06°
Closest atoms and distances in Å follow each position.
Element x y z (fractional)
1 Hf 0.2347 0.7653 0.5848  4 Zr 2.95-3.10, 4 Hf 3.08-3.12, 2 Mg 3.15
2 Hf 0.2347 0.7653 0.9152  4 Zr 2.95-3.10, 4 Hf 3.08-3.12, 2 Mg 3.15
3 Hf 0.7653 0.2347 0.0848  4 Zr 2.95-3.10, 4 Hf 3.08-3.12, 2 Mg 3.15
4 Hf 0.7653 0.2347 0.4152  4 Zr 2.95-3.10, 4 Hf 3.08-3.12, 2 Mg 3.15
5 Mg 0.0108 0.9892 0.6519  5 Mg 3.02-3.25, 6 Zr 3.11-3.29
6 Mg 0.0108 0.9892 0.8481  5 Mg 3.02-3.25, 6 Zr 3.11-3.29
7 Mg 0.3316 0.6684 0.2500  6 Mg 3.12-3.25, 4 Hf 3.15, 2 Zr 3.20
8 Mg 0.6684 0.3316 0.7500  6 Mg 3.12-3.25, 4 Hf 3.15, 2 Zr 3.20
9 Mg 0.9892 0.0108 0.1519  5 Mg 3.02-3.25, 6 Zr 3.11-3.29
10 Mg 0.9892 0.0108 0.3481  5 Mg 3.02-3.25, 6 Zr 3.11-3.29
11 Zr 0.3504 0.6496 0.7500  2 Hf 3.10, 2 Zr 3.12, 6 Mg 3.20-3.29
12 Zr 0.4080 0.5920 0.5027  3 Zr 2.83-3.12, 3 Hf 2.95-3.01, 2 Mg 3.11
13 Zr 0.4080 0.5920 0.9973  3 Zr 2.83-3.12, 3 Hf 2.95-3.01, 2 Mg 3.11
14 Zr 0.5920 0.4080 0.0027  3 Zr 2.83-3.12, 3 Hf 2.95-3.01, 2 Mg 3.11
15 Zr 0.5920 0.4080 0.4973  3 Zr 2.83-3.12, 3 Hf 2.95-3.01, 2 Mg 3.11
16 Zr 0.6496 0.3504 0.2500  2 Hf 3.10, 2 Zr 3.12, 6 Mg 3.20-3.29

***

Density functional theory data (GGA-PBE) for an optimized crystal structure of Hf2Mg2Zr3.

Output
Total energy ... -6.8865 eV/atom
Formation energy ... 0.08 eV/atom
Spin magnetization ... 0.00 Bohr magnetons per cell
Volume ... 164 Å³/cell

a = 16.8942 Å, b = 16.8942 Å, c = 3.1178 Å
α = 90.00°, β = 90.00°, γ = 169.40°
Closest atoms and distances in Å follow each position.
Element x y z (fractional)
1 Hf 0.1366 0.8634 0.0000  4 Hf 3.12, 4 Zr 3.13, 4 Mg 3.28
2 Hf 0.8634 0.1366 0.0000  4 Hf 3.12, 4 Zr 3.13, 4 Mg 3.28
3 Mg 0.2914 0.7086 0.5000  6 Mg 3.12-3.19, 4 Hf 3.28
4 Mg 0.7086 0.2914 0.5000  6 Mg 3.12-3.19, 4 Hf 3.28
5 Zr 0.0000 0.0000 0.0000  12 Zr 3.12-3.24
6 Zr 0.4296 0.5704 0.5000  8 Zr 3.12-3.24, 4 Hf 3.13
7 Zr 0.5704 0.4296 0.5000  8 Zr 3.12-3.24, 4 Hf 3.13

***

Density functional theory data (GGA-PBE) for an optimized crystal structure of HfMg2Zr.

Output
Total energy ... -5.3189 eV/atom
Formation energy ... 0.10 eV/atom
Spin magnetization ... 0.00 Bohr magnetons per cell
Volume ... 89 Å³/cell

a = 3.0616 Å, b = 3.0616 Å, c = 11.1113 Å
α = 97.97°, β = 97.97°, γ = 59.74°
Closest atoms and distances in Å follow each position.
Element x y z (fractional)
1 Hf 0.0000 0.0000 0.0000  6 Hf 3.05-3.06, 6 Mg 3.24-3.26
2 Mg 0.2444 0.2444 0.7511  6 Mg 3.05-3.06, 3 Hf 3.24-3.26, 3 Zr 3.27-3.28
3 Mg 0.4119 0.4119 0.2486  6 Mg 3.05-3.06, 3 Hf 3.24-3.25, 3 Zr 3.26-3.27
4 Zr 0.8259 0.8259 0.4996  6 Zr 3.05-3.06, 6 Mg 3.26-3.28

***

Density functional theory data (GGA-PBE) for an optimized crystal structure of HfMg3Zr.

Output
Energy relative to the lowest polymorph listed for this composition ... 1288 meV per atom
Total energy ... -3.2919 eV/atom
Formation energy ... 1.37 eV/atom
Spin magnetization ... 0.00 Bohr magnetons per cell
Volume ... 142 Å³/cell

a = 5.2164 Å, b = 5.2164 Å, c = 5.2164 Å
α = 90.00°, β = 90.00°, γ = 90.00°
Closest atoms and distances in Å follow each position.
Element x y z (fractional)
1 Hf 0.0000 0.0000 0.0000  6 Mg 2.61
2 Mg 0.0000 0.0000 0.5000  2 Hf 2.61
3 Mg 0.0000 0.5000 0.0000  2 Hf 2.61
4 Mg 0.5000 0.0000 0.0000  2 Hf 2.61
5 Zr 0.5000 0.5000 0.5000  12 Mg 3.69

***

Density functional theory data (GGA-PBE) for an optimized crystal structure of Hf2MgZr2.

Output
Energy relative to the lowest polymorph listed for this composition ... 164 meV per atom
Total energy ... -7.5309 eV/atom
Formation energy ... 0.19 eV/atom
Spin magnetization ... 0.00 Bohr magnetons per cell
Volume ... 233 Å³/cell

a = 7.7603 Å, b = 7.7603 Å, c = 3.8657 Å
α = 90.00°, β = 90.00°, γ = 90.00°
Closest atoms and distances in Å follow each position.
Element x y z (fractional)
1 Hf 0.1350 0.3650 0.0000  1 Hf 2.96, 6 Zr 2.98-2.99, 2 Mg 3.02
2 Hf 0.3650 0.8650 0.0000  1 Hf 2.96, 6 Zr 2.98-2.99, 2 Mg 3.02
3 Hf 0.6350 0.1350 0.0000  1 Hf 2.96, 6 Zr 2.98-2.99, 2 Mg 3.02
4 Hf 0.8650 0.6350 0.0000  1 Hf 2.96, 6 Zr 2.98-2.99, 2 Mg 3.02
5 Mg 0.0000 0.0000 0.0000  4 Hf 3.02
6 Mg 0.5000 0.5000 0.0000  4 Hf 3.02
7 Zr 0.1582 0.6582 0.5000  6 Hf 2.98-2.99
8 Zr 0.3418 0.1582 0.5000  6 Hf 2.98-2.99
9 Zr 0.6582 0.8418 0.5000  6 Hf 2.98-2.99
10 Zr 0.8418 0.3418 0.5000  6 Hf 2.98-2.99

***

Density functional theory data (GGA-PBE) for an optimized crystal structure of HfMg2Zr.

Output
Total energy ... -5.3887 eV/atom
Formation energy ... 0.03 eV/atom
Spin magnetization ... 0.00 Bohr magnetons per cell
Volume ... 186 Å³/cell

a = 5.4702 Å, b = 3.2749 Å, c = 10.4881 Å
α = 90.00°, β = 99.00°, γ = 90.00°
Closest atoms and distances in Å follow each position.
Element x y z (fractional)
1 Hf 0.0412 0.2500 0.3835  4 Hf 3.03-3.27, 5 Zr 3.07-3.21, 3 Mg 3.23-3.29
2 Hf 0.9588 0.7500 0.6165  4 Hf 3.03-3.27, 5 Zr 3.07-3.21, 3 Mg 3.23-3.29
3 Mg 0.1135 0.7500 0.1266  9 Mg 3.18-3.27, 2 Hf 3.23, 1 Zr 3.28
4 Mg 0.3861 0.7500 0.8747  9 Mg 3.18-3.27, 2 Zr 3.22, 1 Hf 3.29
5 Mg 0.6139 0.2500 0.1253  9 Mg 3.18-3.27, 2 Zr 3.22, 1 Hf 3.29
6 Mg 0.8865 0.2500 0.8734  9 Mg 3.18-3.27, 2 Hf 3.23, 1 Zr 3.28
7 Zr 0.4551 0.2500 0.6181  5 Hf 3.07-3.21, 4 Zr 3.07-3.27, 3 Mg 3.22-3.28
8 Zr 0.5449 0.7500 0.3819  5 Hf 3.07-3.21, 4 Zr 3.07-3.27, 3 Mg 3.22-3.28

***

Density functional theory data (GGA-PBE) for an optimized crystal structure of Hf2MgZr3.

Output
Total energy ... -7.8464 eV/atom
Formation energy ... 0.01 eV/atom
Spin magnetization ... 0.00 Bohr magnetons per cell
Volume ... 138 Å³/cell

a = 3.1602 Å, b = 3.1602 Å, c = 13.7926 Å
α = 90.00°, β = 90.00°, γ = 90.00°
Closest atoms and distances in Å follow each position.
Element x y z (fractional)
1 Hf 0.0000 0.0000 0.1655  8 Zr 3.13-3.19, 4 Hf 3.16
2 Hf 0.0000 0.0000 0.8345  8 Zr 3.13-3.19, 4 Hf 3.16
3 Mg 0.0000 0.0000 0.5000  4 Mg 3.16, 8 Zr 3.30
4 Zr 0.5000 0.5000 0.0000  4 Zr 3.16, 8 Hf 3.19
5 Zr 0.5000 0.5000 0.3243  4 Hf 3.13, 4 Zr 3.16, 4 Mg 3.30
6 Zr 0.5000 0.5000 0.6757  4 Hf 3.13, 4 Zr 3.16, 4 Mg 3.30

***

Density functional theory data (GGA-PBE) for an optimized crystal structure of HfMg2Zr.

Output
Total energy ... -5.2945 eV/atom
Formation energy ... 0.13 eV/atom
Spin magnetization ... 0.32 Bohr magnetons per cell
Volume ... 88 Å³/cell

a = 4.3920 Å, b = 4.3920 Å, c = 4.5489 Å
α = 90.00°, β = 90.00°, γ = 90.00°
Closest atoms and distances in Å follow each position.
Element x y z (fractional)
1 Hf 0.0000 0.0000 0.0000  4 Zr 3.11, 8 Mg 3.16
2 Mg 0.0000 0.5000 0.5000  4 Mg 3.11, 4 Zr 3.16, 4 Hf 3.16
3 Mg 0.5000 0.0000 0.5000  4 Mg 3.11, 4 Zr 3.16, 4 Hf 3.16
4 Zr 0.5000 0.5000 0.0000  4 Hf 3.11, 8 Mg 3.16